A relaxed Mg3TaRh crystal, computed with PBE.

**Total moment**: 0.0 μB/f.u.
**Energy relative to the lowest polymorph listed for this composition**: 0.0 meV/atom
**Formation enthalpy at 0 K**: 0.721 eV per atom
**Crystal system**: cubic

a = 4.7355 Å, b = 4.7355 Å, c = 4.7355 Å
α = 90.00°, β = 90.00°, γ = 90.00°
With the nearest neighbours (Å) after each atom.
Fractional coordinates of all 5 atoms:
Mg 0.0000 0.0000 0.5000  2 Rh 2.37
Mg 0.0000 0.5000 0.0000  2 Rh 2.37
Mg 0.5000 0.0000 0.0000  2 Rh 2.37
Ta 0.5000 0.5000 0.5000  12 Mg 3.35
Rh 0.0000 0.0000 0.0000  6 Mg 2.37

A relaxed MgTaRh crystal, computed with PBE.

**Total moment**: 0.0 μB/f.u.
**Energy relative to the lowest polymorph listed for this composition**: 765.1 meV/atom
**Formation enthalpy at 0 K**: 0.544 eV per atom
**Crystal system**: cubic

a = 4.3727 Å, b = 4.3727 Å, c = 4.3727 Å
α = 60.00°, β = 60.00°, γ = 60.00°
With the nearest neighbours (Å) after each atom.
Fractional coordinates of all 3 atoms:
Mg 0.0000 0.0000 0.0000  4 Ta 2.68
Ta 0.7500 0.7500 0.7500  4 Mg 2.68, 4 Rh 2.68
Rh 0.5000 0.5000 0.5000  4 Ta 2.68

A relaxed Mg2Ta2Rh3 crystal, computed with PBE.

**Total moment**: 0.0 μB/f.u.
**Formation enthalpy at 0 K**: -0.426 eV per atom
**Crystal system**: triclinic

a = 4.4438 Å, b = 4.4509 Å, c = 7.6736 Å
α = 106.81°, β = 90.10°, γ = 119.78°
With the nearest neighbours (Å) after each atom.
Fractional coordinates of all 7 atoms:
Mg 0.1324 0.2631 0.3964  5 Rh 2.82-2.90, 3 Mg 2.97-2.98, 3 Ta 3.13-3.14
Mg 0.8676 0.7369 0.6036  5 Rh 2.82-2.90, 3 Mg 2.97-2.98, 3 Ta 3.13-3.14
Ta 0.3825 0.7650 0.1475  7 Rh 2.61-2.79
Ta 0.6175 0.2350 0.8525  7 Rh 2.61-2.79
Rh 0.0000 0.0000 0.0000  6 Ta 2.78-2.79, 2 Mg 2.87, 6 Rh 2.99-3.01
Rh 0.2622 0.5258 0.7865  4 Ta 2.61-2.62, 4 Mg 2.82-2.90
Rh 0.7378 0.4742 0.2135  4 Ta 2.61-2.62, 4 Mg 2.82-2.90

A relaxed MgTaRh2 crystal, computed with PBE.

**Total moment**: 0.0 μB/f.u.
**Formation enthalpy at 0 K**: -0.059 eV per atom
**Crystal system**: tetragonal

a = 2.8421 Å, b = 2.8421 Å, c = 8.0670 Å
α = 90.00°, β = 90.00°, γ = 90.00°
With the nearest neighbours (Å) after each atom.
Fractional coordinates of all 4 atoms:
Mg 0.0000 0.0000 0.0000  4 Rh 2.71, 4 Mg 2.84
Ta 0.5000 0.5000 0.6958  4 Rh 2.76, 4 Ta 2.84
Rh 0.0000 0.0000 0.4620  4 Ta 2.76, 8 Rh 2.77-2.84
Rh 0.5000 0.5000 0.2259  4 Mg 2.71, 8 Rh 2.77-2.84

A relaxed MgTaRh2 crystal, computed with PBE.

**Total moment**: 0.0 μB/f.u.
**Formation enthalpy at 0 K**: -0.446 eV per atom
**Crystal system**: monoclinic

a = 5.0599 Å, b = 5.0599 Å, c = 4.3716 Å
α = 105.61°, β = 105.61°, γ = 36.30°
With the nearest neighbours (Å) after each atom.
Fractional coordinates of all 4 atoms:
Mg 0.0000 0.0000 0.0000  7 Rh 2.69-2.74
Ta 0.2348 0.2348 0.6457  7 Rh 2.65-2.83
Rh 0.5036 0.5036 0.5026  3 Ta 2.65-2.83, 4 Mg 2.69-2.70
Rh 0.7421 0.7421 0.1495  4 Ta 2.69-2.70, 3 Mg 2.73-2.74, 2 Rh 3.00

A relaxed MgTa2Rh crystal, computed with PBE.

**Total moment**: 0.0 μB/f.u.
**Formation enthalpy at 0 K**: -0.151 eV per atom
**Crystal system**: orthorhombic

a = 2.9385 Å, b = 2.9385 Å, c = 8.1334 Å
α = 90.00°, β = 90.00°, γ = 90.25°
With the nearest neighbours (Å) after each atom.
Fractional coordinates of all 4 atoms:
Mg 0.0000 0.0000 0.0000  4 Rh 2.77, 4 Mg 2.94
Ta 0.0000 0.0000 0.4360  4 Rh 2.69-2.70, 6 Ta 2.94-3.01
Ta 0.5000 0.5000 0.7046  8 Ta 2.94-3.02, 4 Mg 3.17-3.18
Rh 0.5000 0.5000 0.2251  4 Ta 2.69-2.70, 4 Mg 2.77, 4 Rh 2.94

A relaxed MgTa2Rh crystal, computed with PBE.

**Total moment**: 0.0 μB/f.u.
**Formation enthalpy at 0 K**: -0.065 eV per atom
**Crystal system**: monoclinic

a = 5.2868 Å, b = 5.2868 Å, c = 4.9537 Å
α = 111.24°, β = 111.24°, γ = 32.70°
With the nearest neighbours (Å) after each atom.
Fractional coordinates of all 4 atoms:
Mg 0.0000 0.0000 0.0000  3 Rh 2.70-3.01, 4 Ta 2.90-2.92, 2 Mg 2.98
Ta 0.2191 0.2191 0.6599  4 Rh 2.81-2.99, 5 Ta 2.82-2.98, 2 Mg 3.09
Ta 0.4642 0.4642 0.4703  2 Rh 2.68, 5 Ta 2.82-2.98, 4 Mg 2.90-2.92
Rh 0.7397 0.7397 0.1546  6 Ta 2.68-2.99, 2 Mg 2.70, 2 Rh 2.98

A relaxed MgTa2Rh crystal, computed with PBE.

**Total moment**: 0.0 μB/f.u.
**Formation enthalpy at 0 K**: -0.171 eV per atom
**Crystal system**: orthorhombic

a = 5.5113 Å, b = 5.5113 Å, c = 5.5113 Å
α = 146.32°, β = 132.28°, γ = 59.67°
With the nearest neighbours (Å) after each atom.
Fractional coordinates of all 4 atoms:
Mg 0.0000 0.0000 0.0000  4 Rh 2.74, 4 Ta 3.00
Ta 0.2654 0.7654 0.5000  2 Rh 2.75, 4 Ta 2.76, 2 Mg 3.00
Ta 0.7346 0.2346 0.5000  2 Rh 2.75, 4 Ta 2.76, 2 Mg 3.00
Rh 0.5000 0.5000 0.0000  4 Mg 2.74, 4 Ta 2.75

A relaxed MgTa2Rh crystal, computed with PBE.

**Total moment**: 0.0 μB/f.u.
**Formation enthalpy at 0 K**: -0.026 eV per atom
**Crystal system**: monoclinic

a = 5.4284 Å, b = 5.4284 Å, c = 2.8223 Å
α = 99.33°, β = 99.33°, γ = 120.13°
With the nearest neighbours (Å) after each atom.
Fractional coordinates of all 4 atoms:
Mg 0.0000 0.0000 0.0000  2 Rh 2.71, 2 Mg 2.82, 4 Ta 2.85
Ta 0.0000 0.5000 0.5000  4 Ta 2.71-2.82, 2 Mg 2.85, 2 Rh 2.85
Ta 0.5000 0.0000 0.5000  4 Ta 2.71-2.82, 2 Mg 2.85, 2 Rh 2.85
Rh 0.5000 0.5000 0.0000  2 Mg 2.71, 2 Rh 2.82, 4 Ta 2.85

A relaxed Mg2TaRh crystal, computed with PBE.

**Total moment**: 0.0 μB/f.u.
**Energy relative to the lowest polymorph listed for this composition**: 208.2 meV/atom
**Formation enthalpy at 0 K**: -0.011 eV per atom
**Crystal system**: tetragonal

a = 2.9039 Å, b = 2.9039 Å, c = 8.1657 Å
α = 90.00°, β = 90.00°, γ = 90.00°
With the nearest neighbours (Å) after each atom.
Fractional coordinates of all 4 atoms:
Mg 0.0000 0.0000 0.2170  4 Rh 2.71, 4 Mg 2.90
Mg 0.0000 0.0000 0.7830  4 Rh 2.71, 4 Mg 2.90
Ta 0.5000 0.5000 0.5000  4 Ta 2.90, 8 Mg 3.09
Rh 0.5000 0.5000 0.0000  8 Mg 2.71, 4 Rh 2.90

A relaxed Mg2TaRh crystal, computed with PBE.

**Total moment**: 0.0 μB/f.u.
**Energy relative to the lowest polymorph listed for this composition**: 283.4 meV/atom
**Formation enthalpy at 0 K**: 0.064 eV per atom
**Crystal system**: tetragonal

a = 5.3872 Å, b = 5.3872 Å, c = 5.3872 Å
α = 137.88°, β = 137.88°, γ = 61.09°
With the nearest neighbours (Å) after each atom.
Fractional coordinates of all 4 atoms:
Mg 0.2500 0.7500 0.5000  4 Mg 2.74, 4 Ta 3.02, 4 Rh 3.02
Mg 0.7500 0.2500 0.5000  4 Mg 2.74, 4 Ta 3.02, 4 Rh 3.02
Ta 0.0000 0.0000 0.0000  4 Rh 2.74, 8 Mg 3.02
Rh 0.5000 0.5000 0.0000  4 Ta 2.74, 8 Mg 3.02

A relaxed Mg2TaRh crystal, computed with PBE.

**Total moment**: 0.3 μB/f.u.
**Energy relative to the lowest polymorph listed for this composition**: 518.4 meV/atom
**Formation enthalpy at 0 K**: 0.299 eV per atom
**Crystal system**: cubic

a = 4.5813 Å, b = 4.5813 Å, c = 4.5813 Å
α = 60.00°, β = 60.00°, γ = 60.00°
With the nearest neighbours (Å) after each atom.
Fractional coordinates of all 4 atoms:
Mg 0.2500 0.2500 0.2500  4 Ta 2.81, 4 Rh 2.81
Mg 0.7500 0.7500 0.7500  4 Rh 2.81, 4 Ta 2.81
Ta 0.0000 0.0000 0.0000  8 Mg 2.81
Rh 0.5000 0.5000 0.5000  8 Mg 2.81